(1)
NdTlCu | GGA-PBE | optimized geometry

The total magnetization is 0.000 μB per formula unit. Its calculated density is 9.598 g/cm³. The total energy is -22.9 eV per cell. The value obtained for the energy of formation from the pure elements is -79 meV per atom. For the density of states at the Fermi level, the calculation gives 0.911 states/eV/atom.

The space group is I4mm (No. 107) and the conventional cell measures 3.4928, 3.4928 and 11.6913 Å, with angles of 90.00, 90.00 and 90.00 degrees. The asymmetric unit holds Nd at (0.0000, 0.0000, 0.0000), Tl at (0.0000, 0.0000, 0.7067) and Cu at (0.0000, 0.0000, 0.3423).

***

(2)
FeCo2Ir6 | GGA-PBE | optimized geometry

The total magnetization is 5.860 μB per formula unit. Its calculated density is 15.380 g/cm³. The calculation puts the energy relative to the lowest polymorph listed for this composition at 446 meV per atom. The total energy is -213.6 eV per cell. The value obtained for the energy of formation from the pure elements is 515 meV per atom. For the density of states at the Fermi level, the calculation gives 1.660 states/eV/atom.

The space group is R3m (No. 160, hexagonal axes) and the conventional cell measures 5.2983, 5.2983 and 17.6798 Å, with angles of 90.00, 90.00 and 120.00 degrees. The asymmetric unit holds Fe at (0.0000, 0.0000, 0.0000), Co at (0.0000, 0.0000, 0.5770), Co at (0.0000, 0.0000, 0.7742), Ir at (0.1694, 0.3388, 0.8955) and Ir at (0.1722, 0.3445, 0.1059).

***

(3)
Ca3Zn2Sn3 | GGA-PBE | optimized geometry

The total magnetization is 0.000 μB per formula unit. Its calculated density is 4.869 g/cm³. The total energy is -98.9 eV per cell. The value obtained for the energy of formation from the pure elements is -520 meV per atom. For the density of states at the Fermi level, the calculation gives 0.207 states/eV/atom.

The space group is Cmcm (No. 63) and the conventional cell measures 4.7228, 11.2724 and 15.5599 Å, with angles of 90.00, 90.00 and 90.00 degrees. The asymmetric unit holds Ca at (0.0000, 0.0839, 0.1101), Ca at (0.0000, 0.3574, 0.2500), Zn at (0.0000, 0.2158, 0.6016), Sn at (0.0000, 0.3485, 0.7500) and Sn at (0.0000, 0.3793, 0.0396).